*1*
Computed, not measured: an optimized crystal structure of TlICl2 at the GGA-PBE level of DFT.

Cell and atoms, written as POSCAR:
```
TlICl2
1.0
5.1123 0.0000 0.0000
-2.5561 4.4274 0.0000
0.0000 0.0000 23.9945
Tl I Cl
3 3 6
Direct
0.0000 0.0000 0.0000
0.3333 0.6667 0.6667
0.6667 0.3333 0.3333
0.0000 0.0000 0.5000
0.3333 0.6667 0.1667
0.6667 0.3333 0.8333
0.0000 0.0000 0.3925
0.0000 0.0000 0.6075
0.3333 0.6667 0.0592
0.3333 0.6667 0.2741
0.6667 0.3333 0.7259
0.6667 0.3333 0.9408
```

Space group = R-3m
Fermi-level density of states = 0.000 states/eV per cell
Calculated density = 3.69 Mg/m³
Size of the total moment = 0.00 μB per formula unit


*2*
Computed, not measured: an optimized crystal structure of TlICl2 at the GGA-PBE level of DFT.

Cell and atoms, written as POSCAR:
```
TlICl2
1.0
8.3084 0.0000 0.0000
0.0000 8.3084 0.0000
0.0000 0.0000 11.5739
Tl I Cl
4 4 8
Direct
0.0000 0.0000 0.0000
0.0000 0.5000 0.2500
0.5000 0.0000 0.7500
0.5000 0.5000 0.5000
0.0000 0.0000 0.5000
0.0000 0.5000 0.7500
0.5000 0.0000 0.2500
0.5000 0.5000 0.0000
0.0918 0.2500 0.1250
0.2500 0.5918 0.3750
0.2500 0.9082 0.8750
0.4082 0.2500 0.6250
0.5918 0.7500 0.6250
0.7500 0.0918 0.8750
0.7500 0.4082 0.3750
0.9082 0.7500 0.1250
```

Space group = I-42d
Fermi-level density of states = 89.247 states/eV per cell
Calculated density = 3.34 Mg/m³
Size of the total moment = 0.97 μB per formula unit


Relative energies, unit eV/atom: *1* 0.000; *2* 0.376